The following is a DFT calculation (PBE-GGA) of a relaxed SrIn2Hg2 crystal.

Calculated values
The calculation puts the total energy at -1.89 eV per atom. The calculated volume is 137.7 Å³/f.u.

Lattice parameters (Å, degrees): 5.036 6.591 9.366 78.74 74.50 67.59
Space group P-1 (No. 2)
Asymmetric unit:
Sr: 0.172 0.365 0.289
In: 0.127 0.060 0.683
In: 0.455 0.199 0.885
Hg: 0.171 0.712 0.950
Hg: 0.410 0.735 0.451



The following is a DFT calculation (PBE-GGA) of a relaxed Be2Tc2Pt crystal.

Calculated values
The calculation puts the magnetic moment at 0.0 μB per formula unit. The calculation puts the total energy at -7.13 eV per atom. The calculated volume is 59.4 Å³/f.u.

Lattice parameters (Å, degrees): 5.972 5.972 3.330 90.00 90.00 90.00
Space group P4/mbm (No. 127)
Asymmetric unit:
Be: 0.124 0.376 0.000
Tc: 0.172 0.672 0.500
Pt: 0.000 0.000 0.000



The following is a DFT calculation (PBE-GGA) of a relaxed RbLiThS3 crystal.

Calculated values
The calculation puts the magnetic moment at 0.0 μB per formula unit. The calculation puts the total energy at -5.49 eV per atom. The calculated volume is 163.3 Å³/f.u.

Lattice parameters (Å, degrees): 4.206 14.358 10.816 90.00 90.00 90.00
Space group Cmcm (No. 63)
Asymmetric unit:
Rb: 0.000 0.240 0.250
Li: 0.000 0.037 0.750
Th: 0.000 0.500 0.000
S: 0.000 0.120 0.557
S: 0.000 0.449 0.750



The following is a DFT calculation (PBE-GGA) of a relaxed PuTl2Se3 crystal.

Calculated values
The calculation puts the magnetic moment at 4.0 μB per formula unit. The calculation puts the total energy at -5.77 eV per atom. The calculated volume is 187.8 Å³/f.u.

Lattice parameters (Å, degrees): 8.117 4.240 10.946 90.00 94.40 90.00
Space group P2_1/m (No. 11)
Asymmetric unit:
Pu: 0.081 0.250 0.162
Tl: 0.252 0.750 0.496
Tl: 0.434 0.250 0.837
Se: 0.053 0.250 0.705
Se: 0.197 0.750 0.013
Se: 0.374 0.250 0.309



The following is a DFT calculation (PBE-GGA) of a relaxed Pd15Pb crystal.

Calculated values
For the offset from the most stable computed form, the calculation gives 22 meV/atom. The calculation puts the total energy at -5.08 eV per atom. The calculated volume is 337.7 Å³/f.u.

Lattice parameters (Å, degrees): 5.565 3.889 31.215 90.00 90.01 90.00
Space group P2_1/m (No. 11)
Asymmetric unit:
Pd: 0.123 0.250 0.297
Pd: 0.124 0.250 0.206
Pd: 0.125 0.250 0.388
Pd: 0.125 0.250 0.478
Pd: 0.125 0.250 0.567
Pd: 0.125 0.250 0.657
Pd: 0.126 0.250 0.749
Pd: 0.374 0.750 0.253
Pd: 0.374 0.750 0.703
Pd: 0.375 0.750 0.162
Pd: 0.375 0.750 0.343
Pd: 0.375 0.750 0.433
Pd: 0.375 0.750 0.522
Pd: 0.375 0.750 0.612
Pd: 0.375 0.750 0.794
Pb: 0.125 0.250 0.846



The following is a DFT calculation (PBE-GGA) of a relaxed TbAl3 crystal.

Calculated values
The calculation puts the magnetic moment at 0.0 μB per formula unit. The calculation puts the total energy at -4.41 eV per atom. The calculated volume is 79.4 Å³/f.u.

Lattice parameters (Å, degrees): 6.3125 6.3125 4.6010 90.00 90.00 120.00
Space group P6_3/mmc (No. 194)
Asymmetric unit:
Tb: 0.3333 0.6667 0.2500
Al: 0.1459 0.2918 0.7500



The following is a DFT calculation (PBE-GGA) of a relaxed HoErAg2Se4 crystal.

Calculated values
The calculation puts the magnetic moment at 0.0 μB per formula unit. The calculation puts the total energy at -4.81 eV per atom. The calculated volume is 194.8 Å³/f.u.

Lattice parameters (Å, degrees): 9.520 9.523 4.297 90.00 90.00 90.00
Space group Cmm2 (No. 35)
Asymmetric unit:
Ho: 0.000 0.000 0.000
Er: 0.000 0.500 0.592
Ag: 0.250 0.250 0.796
Se: 0.000 0.298 0.079
Se: 0.202 0.000 0.513



The following is a DFT calculation (PBE-GGA) of a relaxed YTmGa2Pd4 crystal.

Calculated values
For the offset from the most stable computed form, the calculation gives 74 meV/atom. The calculation puts the magnetic moment at 0.0 μB per formula unit. The calculation puts the total energy at -5.54 eV per atom. The calculated volume is 144.4 Å³/f.u.

Lattice parameters (Å, degrees): 4.671 4.671 6.620 90.00 90.00 90.00
Space group P4/mmm (No. 123)
Asymmetric unit:
Y: 0.000 0.000 0.000
Tm: 0.500 0.500 0.500
Ga: 0.000 0.000 0.500
Ga: 0.500 0.500 0.000
Pd: 0.000 0.500 0.254



Repeat the fifth record exactly.
The following is a DFT calculation (PBE-GGA) of a relaxed Pd15Pb crystal.

Calculated values
For the offset from the most stable computed form, the calculation gives 22 meV/atom. The calculation puts the total energy at -5.08 eV per atom. The calculated volume is 337.7 Å³/f.u.

Lattice parameters (Å, degrees): 5.565 3.889 31.215 90.00 90.01 90.00
Space group P2_1/m (No. 11)
Asymmetric unit:
Pd: 0.123 0.250 0.297
Pd: 0.124 0.250 0.206
Pd: 0.125 0.250 0.388
Pd: 0.125 0.250 0.478
Pd: 0.125 0.250 0.567
Pd: 0.125 0.250 0.657
Pd: 0.126 0.250 0.749
Pd: 0.374 0.750 0.253
Pd: 0.374 0.750 0.703
Pd: 0.375 0.750 0.162
Pd: 0.375 0.750 0.343
Pd: 0.375 0.750 0.433
Pd: 0.375 0.750 0.522
Pd: 0.375 0.750 0.612
Pd: 0.375 0.750 0.794
Pb: 0.125 0.250 0.846



Please write out number 2 again, unchanged.
The following is a DFT calculation (PBE-GGA) of a relaxed Be2Tc2Pt crystal.

Calculated values
The calculation puts the magnetic moment at 0.0 μB per formula unit. The calculation puts the total energy at -7.13 eV per atom. The calculated volume is 59.4 Å³/f.u.

Lattice parameters (Å, degrees): 5.972 5.972 3.330 90.00 90.00 90.00
Space group P4/mbm (No. 127)
Asymmetric unit:
Be: 0.124 0.376 0.000
Tc: 0.172 0.672 0.500
Pt: 0.000 0.000 0.000



Which value of calculated volume does entry 4 give?
187.8 Å³/f.u.



Please write out number 8 again, unchanged.
The following is a DFT calculation (PBE-GGA) of a relaxed YTmGa2Pd4 crystal.

Calculated values
For the offset from the most stable computed form, the calculation gives 74 meV/atom. The calculation puts the magnetic moment at 0.0 μB per formula unit. The calculation puts the total energy at -5.54 eV per atom. The calculated volume is 144.4 Å³/f.u.

Lattice parameters (Å, degrees): 4.671 4.671 6.620 90.00 90.00 90.00
Space group P4/mmm (No. 123)
Asymmetric unit:
Y: 0.000 0.000 0.000
Tm: 0.500 0.500 0.500
Ga: 0.000 0.000 0.500
Ga: 0.500 0.500 0.000
Pd: 0.000 0.500 0.254